# Sr4Y3HoTe8 PBE optimized geometry
# formation energy without anion corrections = -1.500 eV/atom
# final energy = -239.498 eV per cell
# total magnetization = 0.00 μB per formula unit
# mass density = 5.70 g/cm³
data_Sr4Y3HoTe8
_cell_length_a 8.9722
_cell_length_b 8.9722
_cell_length_c 22.6135
_cell_angle_alpha 90.00
_cell_angle_beta 90.00
_cell_angle_gamma 120.00
_symmetry_space_group_name_H-M 'R -3 m'
_symmetry_Int_Tables_number 166
_symmetry_space_group_name_Hall '-R 3 2"'
loop_
_atom_site_label
_atom_site_type_symbol
_atom_site_fract_x
_atom_site_fract_y
_atom_site_fract_z
Sr1 Sr 0.0000 0.0000 0.0000
Sr2 Sr 0.0000 0.5000 0.0000
Y1 Y 0.0000 0.5000 0.5000
Ho1 Ho 0.0000 0.0000 0.5000
Te1 Te 0.0000 0.0000 0.2439
Te2 Te 0.0014 0.5007 0.2436


# Sc3SbW PBE optimized geometry
# formation energy without anion corrections = 0.390 eV/atom
# final energy = -34.121 eV per cell
# total magnetization = 0.00 μB per formula unit
# mass density = 5.65 g/cm³
data_Sc3SbW
_cell_length_a 5.0579
_cell_length_b 5.0579
_cell_length_c 5.0579
_cell_angle_alpha 90.00
_cell_angle_beta 90.00
_cell_angle_gamma 90.00
_symmetry_space_group_name_H-M 'P m -3 m'
_symmetry_Int_Tables_number 221
_symmetry_space_group_name_Hall '-P 4 2 3'
loop_
_atom_site_label
_atom_site_type_symbol
_atom_site_fract_x
_atom_site_fract_y
_atom_site_fract_z
Sc1 Sc 0.0000 0.0000 0.5000
Sb1 Sb 0.5000 0.5000 0.5000
W1 W 0.0000 0.0000 0.0000


# YHo2Zn2Ga2 PBE optimized geometry
# final energy = -81.123 eV per cell
# total magnetization = 0.00 μB per formula unit
# mass density = 7.38 g/cm³
data_YHo2Zn2Ga2
_cell_length_a 4.4327
_cell_length_b 4.4327
_cell_length_c 27.3200
_cell_angle_alpha 90.00
_cell_angle_beta 90.00
_cell_angle_gamma 120.00
_symmetry_space_group_name_H-M 'R -3 m'
_symmetry_Int_Tables_number 166
_symmetry_space_group_name_Hall '-R 3 2"'
loop_
_atom_site_label
_atom_site_type_symbol
_atom_site_fract_x
_atom_site_fract_y
_atom_site_fract_z
Y1 Y 0.0000 0.0000 0.0000
Ho1 Ho 0.0000 0.0000 0.1269
Zn1 Zn 0.0000 0.0000 0.3986
Ga1 Ga 0.0000 0.0000 0.2619


# ZnTc2NiC PBE optimized geometry
# final energy = -36.358 eV per cell
# total magnetization = 0.00 μB per formula unit
# mass density = 8.83 g/cm³
data_ZnTc2NiC
_cell_length_a 4.0747
_cell_length_b 4.0747
_cell_length_c 3.7597
_cell_angle_alpha 90.00
_cell_angle_beta 90.00
_cell_angle_gamma 90.00
_symmetry_space_group_name_H-M 'P 4/m m m'
_symmetry_Int_Tables_number 123
_symmetry_space_group_name_Hall '-P 4 2'
loop_
_atom_site_label
_atom_site_type_symbol
_atom_site_fract_x
_atom_site_fract_y
_atom_site_fract_z
Zn1 Zn 0.0000 0.0000 0.0000
Tc1 Tc 0.0000 0.5000 0.5000
Ni1 Ni 0.5000 0.5000 0.0000
C1 C 0.5000 0.5000 0.5000


# ZnCdGaNi2 PBE optimized geometry
# final energy = -13.554 eV per cell
# total magnetization = 0.00 μB per formula unit
# mass density = 6.37 g/cm³
data_ZnCdGaNi2
_cell_length_a 4.4094
_cell_length_b 4.4094
_cell_length_c 4.8948
_cell_angle_alpha 90.00
_cell_angle_beta 90.00
_cell_angle_gamma 90.00
_symmetry_space_group_name_H-M 'P 4/m m m'
_symmetry_Int_Tables_number 123
_symmetry_space_group_name_Hall '-P 4 2'
loop_
_atom_site_label
_atom_site_type_symbol
_atom_site_fract_x
_atom_site_fract_y
_atom_site_fract_z
Zn1 Zn 0.0000 0.0000 0.0000
Cd1 Cd 0.5000 0.5000 0.0000
Ga1 Ga 0.5000 0.5000 0.5000
Ni1 Ni 0.0000 0.5000 0.5000


# CaLa2Mn PBE optimized geometry
# final energy = -19.674 eV per cell
# total magnetization = 3.57 μB per formula unit
# mass density = 4.84 g/cm³
data_CaLa2Mn
_cell_length_a 3.6381
_cell_length_b 5.2573
_cell_length_c 6.9238
_cell_angle_alpha 90.00
_cell_angle_beta 105.17
_cell_angle_gamma 90.00
_symmetry_space_group_name_H-M 'P 1 m 1'
_symmetry_Int_Tables_number 6
loop_
_symmetry_equiv_pos_as_xyz
'x,y,z'
'x,-y,z'
loop_
_atom_site_label
_atom_site_type_symbol
_atom_site_fract_x
_atom_site_fract_y
_atom_site_fract_z
Ca1 Ca 0.0000 0.0000 0.0000
La1 La 0.2686 0.0000 0.5388
La2 La 0.6718 0.5000 0.3429
Mn1 Mn 0.3933 0.5000 0.7824


# MgCrCo2 PBE optimized geometry
# final energy = -48.825 eV per cell
# total magnetization = 0.16 μB per formula unit
# mass density = 6.55 g/cm³
data_MgCrCo2
_cell_length_a 8.8568
_cell_length_b 2.6058
_cell_length_c 4.3956
_cell_angle_alpha 90.00
_cell_angle_beta 103.82
_cell_angle_gamma 90.00
_symmetry_space_group_name_H-M 'C 1 m 1'
_symmetry_Int_Tables_number 8
loop_
_symmetry_equiv_pos_as_xyz
'x,y,z'
'x,-y,z'
'x+1/2,y+1/2,z'
'x+1/2,-y+1/2,z'
loop_
_atom_site_label
_atom_site_type_symbol
_atom_site_fract_x
_atom_site_fract_y
_atom_site_fract_z
Mg1 Mg 0.0000 0.0000 0.0000
Cr1 Cr 0.2209 0.0000 0.6542
Co1 Co 0.2595 0.5000 0.2054
Co2 Co 0.4866 0.0000 0.4968


# TbNpS3 PBE optimized geometry
# formation energy without anion corrections = -1.746 eV/atom
# final energy = -154.727 eV per cell
# total magnetization = 3.96 μB per formula unit
# mass density = 7.55 g/cm³
data_TbNpS3
_cell_length_a 7.3241
_cell_length_b 3.9258
_cell_length_c 15.0561
_cell_angle_alpha 90.00
_cell_angle_beta 90.00
_cell_angle_gamma 90.00
_symmetry_space_group_name_H-M 'P n m a'
_symmetry_Int_Tables_number 62
loop_
_symmetry_equiv_pos_as_xyz
'x,y,z'
'-x,-y,-z'
'-x+1/2,-y,z+1/2'
'x+1/2,y,-z+1/2'
'x+1/2,-y+1/2,-z+1/2'
'-x+1/2,y+1/2,z+1/2'
'-x,y+1/2,-z'
'x,-y+1/2,z'
loop_
_atom_site_label
_atom_site_type_symbol
_atom_site_fract_x
_atom_site_fract_y
_atom_site_fract_z
Tb1 Tb 0.2380 0.2500 0.0424
Np1 Np 0.1379 0.7500 0.2912
S1 S 0.0090 0.7500 0.1081
S2 S 0.1247 0.2500 0.4310
S3 S 0.1462 0.7500 0.7212


# Tb2Er5Tm12 PBE optimized geometry
# final energy = -166.511 eV per cell
# total magnetization = 0.00 μB per formula unit
# mass density = 8.95 g/cm³
data_Tb2Er5Tm12
_cell_length_a 15.5547
_cell_length_b 9.0748
_cell_length_c 8.3617
_cell_angle_alpha 90.00
_cell_angle_beta 91.03
_cell_angle_gamma 90.00
_symmetry_space_group_name_H-M 'C 1 2/m 1'
_symmetry_Int_Tables_number 12
loop_
_symmetry_equiv_pos_as_xyz
'x,y,z'
'-x,-y,-z'
'-x,y,-z'
'x,-y,z'
'x+1/2,y+1/2,z'
'-x+1/2,-y+1/2,-z'
'-x+1/2,y+1/2,-z'
'x+1/2,-y+1/2,z'
loop_
_atom_site_label
_atom_site_type_symbol
_atom_site_fract_x
_atom_site_fract_y
_atom_site_fract_z
Tb1 Tb 0.0000 0.1816 0.0000
Er1 Er 0.0000 0.5000 0.5000
Er2 Er 0.1975 0.0000 0.0078
Er3 Er 0.2332 0.5000 0.5762
Tm1 Tm 0.0567 0.0000 0.3309
Tm2 Tm 0.0934 0.5000 0.8848
Tm3 Tm 0.1266 0.1927 0.6565
Tm4 Tm 0.1563 0.3182 0.2451


# Tb2DyY8 PBE optimized geometry
# final energy = -65.326 eV per cell
# total magnetization = 0.00 μB per formula unit
# mass density = 5.61 g/cm³
data_Tb2DyY8
_cell_length_a 6.1711
_cell_length_b 6.1751
_cell_length_c 9.4468
_cell_angle_alpha 89.94
_cell_angle_beta 83.71
_cell_angle_gamma 80.31
_symmetry_space_group_name_H-M 'P -1'
_symmetry_Int_Tables_number 2
loop_
_symmetry_equiv_pos_as_xyz
'x,y,z'
'-x,-y,-z'
loop_
_atom_site_label
_atom_site_type_symbol
_atom_site_fract_x
_atom_site_fract_y
_atom_site_fract_z
Tb1 Tb 0.1820 0.1377 0.2722
Dy1 Dy 0.0000 0.5000 0.0000
Y1 Y 0.0898 0.3183 0.6365
Y2 Y 0.2718 0.9550 0.9093
Y3 Y 0.3632 0.7738 0.5458
Y4 Y 0.4541 0.5911 0.1816


# Dy2ErOsO8 PBE optimized geometry
# formation energy without anion corrections = -2.549 eV/atom
# final energy = -190.494 eV per cell
# total magnetization = 1.04 μB per formula unit
# mass density = 7.88 g/cm³
data_Dy2ErOsO8
_cell_length_a 7.0791
_cell_length_b 7.1508
_cell_length_c 6.7441
_cell_angle_alpha 90.00
_cell_angle_beta 90.00
_cell_angle_gamma 90.00
_symmetry_space_group_name_H-M 'C m m m'
_symmetry_Int_Tables_number 65
_symmetry_space_group_name_Hall '-C 2 2'
loop_
_atom_site_label
_atom_site_type_symbol
_atom_site_fract_x
_atom_site_fract_y
_atom_site_fract_z
Dy1 Dy 0.0000 0.0000 0.2463
Er1 Er 0.0000 0.5000 0.0000
Os1 Os 0.0000 0.5000 0.5000
O1 O 0.0000 0.3176 0.2883
O2 O 0.1942 0.0000 0.0000
O3 O 0.2353 0.0000 0.5000


# Te2PAu PBE optimized geometry
# formation energy without anion corrections = 0.240 eV/atom
# final energy = -56.046 eV per cell
# total magnetization = 0.00 μB per formula unit
# mass density = 6.47 g/cm³
data_Te2PAu
_cell_length_a 5.9702
_cell_length_b 5.9702
_cell_length_c 13.9182
_cell_angle_alpha 90.00
_cell_angle_beta 90.00
_cell_angle_gamma 90.00
_symmetry_space_group_name_H-M 'I -4 2 d'
_symmetry_Int_Tables_number 122
_symmetry_space_group_name_Hall 'I -4 2bw'
loop_
_atom_site_label
_atom_site_type_symbol
_atom_site_fract_x
_atom_site_fract_y
_atom_site_fract_z
Te1 Te 0.2364 0.2500 0.1250
P1 P 0.0000 0.0000 0.0000
Au1 Au 0.0000 0.0000 0.5000


# KGaGe3O8 PBE optimized geometry
# formation energy without anion corrections = -1.761 eV/atom
# final energy = -161.073 eV per cell
# total magnetization = 0.00 μB per formula unit
# mass density = 3.54 g/cm³
data_KGaGe3O8
_cell_length_a 7.6384
_cell_length_b 8.0683
_cell_length_c 8.3934
_cell_angle_alpha 113.75
_cell_angle_beta 103.85
_cell_angle_gamma 103.48
_symmetry_space_group_name_H-M 'P -1'
_symmetry_Int_Tables_number 2
loop_
_symmetry_equiv_pos_as_xyz
'x,y,z'
'-x,-y,-z'
loop_
_atom_site_label
_atom_site_type_symbol
_atom_site_fract_x
_atom_site_fract_y
_atom_site_fract_z
K1 K 0.1345 0.2799 0.2637
Ga1 Ga 0.2204 0.8151 0.1938
Ge1 Ge 0.2251 0.1832 0.8276
Ge2 Ge 0.3432 0.5866 0.8260
Ge3 Ge 0.3490 0.8138 0.5855
O1 O 0.0084 0.1407 0.8637
O2 O 0.2020 0.6620 0.9524
O3 O 0.2079 0.9455 0.6798
O4 O 0.2525 0.6974 0.3398
O5 O 0.2835 0.3294 0.7234
O6 O 0.2837 0.6043 0.6176
O7 O 0.4004 0.0663 0.3083
O8 O 0.4013 0.2899 0.0585


# Mn2ZnRh PBE optimized geometry
# final energy = -54.882 eV per cell
# total magnetization = 0.55 μB per formula unit
# mass density = 8.67 g/cm³
data_Mn2ZnRh
_cell_length_a 2.9892
_cell_length_b 3.0522
_cell_length_c 11.6823
_cell_angle_alpha 90.00
_cell_angle_beta 90.00
_cell_angle_gamma 90.00
_symmetry_space_group_name_H-M 'P m m n'
_symmetry_Int_Tables_number 59
loop_
_symmetry_equiv_pos_as_xyz
'x,y,z'
'-x,-y,-z'
'-x+1/2,-y+1/2,z'
'x+1/2,y+1/2,-z'
'x+1/2,-y,-z'
'-x+1/2,y,z'
'-x,y+1/2,-z'
'x,-y+1/2,z'
loop_
_atom_site_label
_atom_site_type_symbol
_atom_site_fract_x
_atom_site_fract_y
_atom_site_fract_z
Mn1 Mn 0.2500 0.2500 0.0659
Mn2 Mn 0.2500 0.2500 0.8290
Zn1 Zn 0.2500 0.2500 0.5673
Rh1 Rh 0.2500 0.2500 0.3044


# Sm2HPtRh6 PBE optimized geometry
# final energy = -133.975 eV per cell
# total magnetization = 0.00 μB per formula unit
# mass density = 11.11 g/cm³
data_Sm2HPtRh6
_cell_length_a 9.5377
_cell_length_b 5.5176
_cell_length_c 7.0812
_cell_angle_alpha 90.00
_cell_angle_beta 116.63
_cell_angle_gamma 90.00
_symmetry_space_group_name_H-M 'C 1 2/m 1'
_symmetry_Int_Tables_number 12
loop_
_symmetry_equiv_pos_as_xyz
'x,y,z'
'-x,-y,-z'
'-x,y,-z'
'x,-y,z'
'x+1/2,y+1/2,z'
'-x+1/2,-y+1/2,-z'
'-x+1/2,y+1/2,-z'
'x+1/2,-y+1/2,z'
loop_
_atom_site_label
_atom_site_type_symbol
_atom_site_fract_x
_atom_site_fract_y
_atom_site_fract_z
Sm1 Sm 0.2153 0.0000 0.1444
H1 H 0.0000 0.0000 0.5000
Pt1 Pt 0.0000 0.5000 0.0000
Rh1 Rh 0.0326 0.2587 0.3360
Rh2 Rh 0.2265 0.0000 0.6673


# KTaBe3 PBE optimized geometry
# final energy = -17.037 eV per cell
# total magnetization = 1.26 μB per formula unit
# mass density = 3.60 g/cm³
data_KTaBe3
_cell_length_a 4.8505
_cell_length_b 4.8505
_cell_length_c 4.8505
_cell_angle_alpha 90.00
_cell_angle_beta 90.00
_cell_angle_gamma 90.00
_symmetry_space_group_name_H-M 'P m -3 m'
_symmetry_Int_Tables_number 221
_symmetry_space_group_name_Hall '-P 4 2 3'
loop_
_atom_site_label
_atom_site_type_symbol
_atom_site_fract_x
_atom_site_fract_y
_atom_site_fract_z
K1 K 0.0000 0.0000 0.0000
Ta1 Ta 0.5000 0.5000 0.5000
Be1 Be 0.0000 0.5000 0.5000


# CsInSe2 PBE optimized geometry
# formation energy without anion corrections = -0.918 eV/atom
# final energy = -28.463 eV per cell
# total magnetization = 0.00 μB per formula unit
# mass density = 3.66 g/cm³
data_CsInSe2
_cell_length_a 6.8188
_cell_length_b 7.4255
_cell_length_c 8.1271
_cell_angle_alpha 70.29
_cell_angle_beta 88.48
_cell_angle_gamma 72.61
_symmetry_space_group_name_H-M 'P -1'
_symmetry_Int_Tables_number 2
loop_
_symmetry_equiv_pos_as_xyz
'x,y,z'
'-x,-y,-z'
loop_
_atom_site_label
_atom_site_type_symbol
_atom_site_fract_x
_atom_site_fract_y
_atom_site_fract_z
Cs1 Cs 0.1301 0.1584 0.2217
In1 In 0.2591 0.4879 0.5066
Se1 Se 0.0464 0.3027 0.7420
Se2 Se 0.4177 0.7237 0.6018


# NdHoSc PBE optimized geometry
# final energy = -31.035 eV per cell
# total magnetization = 0.00 μB per formula unit
# mass density = 6.50 g/cm³
data_NdHoSc
_cell_length_a 3.5168
_cell_length_b 3.5168
_cell_length_c 14.6208
_cell_angle_alpha 90.00
_cell_angle_beta 90.00
_cell_angle_gamma 90.00
_symmetry_space_group_name_H-M 'I 4 m m'
_symmetry_Int_Tables_number 107
_symmetry_space_group_name_Hall 'I 4 -2'
loop_
_atom_site_label
_atom_site_type_symbol
_atom_site_fract_x
_atom_site_fract_y
_atom_site_fract_z
Nd1 Nd 0.0000 0.0000 0.0000
Ho1 Ho 0.0000 0.0000 0.3219
Sc1 Sc 0.0000 0.0000 0.6637


# Na2Pm2BiO6 PBE optimized geometry
# formation energy without anion corrections = -2.159 eV/atom
# final energy = -139.043 eV per cell
# total magnetization = 0.84 μB per formula unit
# mass density = 5.71 g/cm³
data_Na2Pm2BiO6
_cell_length_a 6.1273
_cell_length_b 10.6667
_cell_length_c 5.9623
_cell_angle_alpha 90.00
_cell_angle_beta 107.05
_cell_angle_gamma 90.00
_symmetry_space_group_name_H-M 'C 1 2/m 1'
_symmetry_Int_Tables_number 12
loop_
_symmetry_equiv_pos_as_xyz
'x,y,z'
'-x,-y,-z'
'-x,y,-z'
'x,-y,z'
'x+1/2,y+1/2,z'
'-x+1/2,-y+1/2,-z'
'-x+1/2,y+1/2,-z'
'x+1/2,-y+1/2,z'
loop_
_atom_site_label
_atom_site_type_symbol
_atom_site_fract_x
_atom_site_fract_y
_atom_site_fract_z
Na1 Na 0.0000 0.1566 0.0000
Pm1 Pm 0.0000 0.3355 0.5000
Bi1 Bi 0.0000 0.0000 0.5000
O1 O 0.2147 0.1683 0.7033
O2 O 0.2499 0.0000 0.2899


# TcPdPt3 PBE optimized geometry
# final energy = -27.335 eV per cell
# total magnetization = 0.00 μB per formula unit
# mass density = 12.20 g/cm³
data_TcPdPt3
_cell_length_a 4.7541
_cell_length_b 4.7541
_cell_length_c 4.7541
_cell_angle_alpha 90.00
_cell_angle_beta 90.00
_cell_angle_gamma 90.00
_symmetry_space_group_name_H-M 'P m -3 m'
_symmetry_Int_Tables_number 221
_symmetry_space_group_name_Hall '-P 4 2 3'
loop_
_atom_site_label
_atom_site_type_symbol
_atom_site_fract_x
_atom_site_fract_y
_atom_site_fract_z
Tc1 Tc 0.0000 0.0000 0.0000
Pd1 Pd 0.5000 0.5000 0.5000
Pt1 Pt 0.0000 0.0000 0.5000